No. 1
# CsBeI3 | the Alexandria database | GGA-PBE | optimized geometry
# Calculated total energy in eV/atom: -2.75
# Energy above the lowest structure with this stoichiometry in eV per atom: 0.071
data_CsBeI3
_chemical_formula_sum 'Cs4 Be4 I12'
_symmetry_space_group_name_H-M 'I m a 2'
_symmetry_Int_Tables_number 46
_cell_length_a 11.624
_cell_length_b 9.947
_cell_length_c 11.510
_cell_angle_alpha 90.00
_cell_angle_beta 90.00
_cell_angle_gamma 90.00
loop_
_symmetry_equiv_pos_as_xyz
'x,y,z'
'-x,-y,z'
'-x+1/2,y,z'
'x+1/2,-y,z'
'x+1/2,y+1/2,z+1/2'
'-x+1/2,-y+1/2,z+1/2'
'-x,y+1/2,z+1/2'
'x,-y+1/2,z+1/2'
loop_
_atom_site_label
_atom_site_fract_x
_atom_site_fract_y
_atom_site_fract_z
Cs1 0.250 0.121 0.000
Be1 0.250 0.690 0.125
I1 0.079 0.694 0.606
I2 0.250 0.037 0.672


No. 2
# CsBe3I | the Alexandria database | GGA-PBE | optimized geometry
# Calculated total energy in eV/atom: -1.15
# Energy above the lowest structure with this stoichiometry in eV per atom: 0.000
data_CsBe3I
_chemical_formula_sum 'Cs1 Be3 I1'
_symmetry_space_group_name_H-M 'P m -3 m'
_symmetry_Int_Tables_number 221
_symmetry_space_group_name_Hall '-P 4 2 3'
_cell_length_a 5.472
_cell_length_b 5.472
_cell_length_c 5.472
_cell_angle_alpha 90.00
_cell_angle_beta 90.00
_cell_angle_gamma 90.00
loop_
_atom_site_label
_atom_site_fract_x
_atom_site_fract_y
_atom_site_fract_z
Cs1 0.000 0.000 0.000
Be1 0.000 0.500 0.500
I1 0.500 0.500 0.500


No. 3
# Cs2Be2I7 | the Alexandria database | GGA-PBE | optimized geometry
# Calculated total energy in eV/atom: -2.61
data_Cs2Be2I7
_chemical_formula_sum 'Cs4 Be4 I14'
_symmetry_space_group_name_H-M 'C 1 2/m 1'
_symmetry_Int_Tables_number 12
_cell_length_a 13.676
_cell_length_b 13.257
_cell_length_c 7.143
_cell_angle_alpha 90.00
_cell_angle_beta 120.28
_cell_angle_gamma 90.00
loop_
_symmetry_equiv_pos_as_xyz
'x,y,z'
'-x,-y,-z'
'-x,y,-z'
'x,-y,z'
'x+1/2,y+1/2,z'
'-x+1/2,-y+1/2,-z'
'-x+1/2,y+1/2,-z'
'x+1/2,-y+1/2,z'
loop_
_atom_site_label
_atom_site_fract_x
_atom_site_fract_y
_atom_site_fract_z
Cs1 0.000 0.245 0.000
Be1 0.193 0.000 0.838
I1 0.000 0.500 0.500
I2 0.185 0.154 0.682
I3 0.205 0.000 0.175


No. 4
# CsBeI3 | the Alexandria database | GGA-PBE | optimized geometry
# Calculated total energy in eV/atom: -1.30
# Energy above the lowest structure with this stoichiometry in eV per atom: 1.524
data_CsBeI3
_chemical_formula_sum 'Cs1 Be1 I3'
_symmetry_space_group_name_H-M 'P m -3 m'
_symmetry_Int_Tables_number 221
_symmetry_space_group_name_Hall '-P 4 2 3'
_cell_length_a 7.351
_cell_length_b 7.351
_cell_length_c 7.351
_cell_angle_alpha 90.00
_cell_angle_beta 90.00
_cell_angle_gamma 90.00
loop_
_atom_site_label
_atom_site_fract_x
_atom_site_fract_y
_atom_site_fract_z
Cs1 0.000 0.000 0.000
Be1 0.500 0.500 0.500
I1 0.000 0.000 0.500


No. 5
# CsBe2I4 | the Alexandria database | GGA-PBE | optimized geometry
# Calculated total energy in eV/atom: -2.46
data_CsBe2I4
_chemical_formula_sum 'Cs2 Be4 I8'
_symmetry_space_group_name_H-M 'C m m m'
_symmetry_Int_Tables_number 65
_symmetry_space_group_name_Hall '-C 2 2'
_cell_length_a 6.942
_cell_length_b 17.304
_cell_length_c 4.651
_cell_angle_alpha 90.00
_cell_angle_beta 90.00
_cell_angle_gamma 90.00
loop_
_atom_site_label
_atom_site_fract_x
_atom_site_fract_y
_atom_site_fract_z
Cs1 0.000 0.000 0.000
Be1 0.000 0.316 0.500
I1 0.000 0.180 0.500
I2 0.000 0.374 0.000


No. 6
# Cs3Be5I12 | the Alexandria database | GGA-PBE | optimized geometry
# Calculated total energy in eV/atom: -2.55
data_Cs3Be5I12
_chemical_formula_sum 'Cs24 Be40 I96'
_symmetry_space_group_name_H-M 'I a -3 d'
_symmetry_Int_Tables_number 230
_symmetry_space_group_name_Hall '-I 4bd 2c 3'
_cell_length_a 18.218
_cell_length_b 18.218
_cell_length_c 18.218
_cell_angle_alpha 90.00
_cell_angle_beta 90.00
_cell_angle_gamma 90.00
loop_
_atom_site_label
_atom_site_fract_x
_atom_site_fract_y
_atom_site_fract_z
Cs1 0.000 0.250 0.125
Be1 0.000 0.000 0.000
Be2 0.000 0.250 0.375
I1 0.043 0.148 0.955


No. 7
# CsBe2I | the Alexandria database | GGA-PBE | optimized geometry
# Calculated total energy in eV/atom: -1.45
data_CsBe2I
_chemical_formula_sum 'Cs4 Be8 I4'
_symmetry_space_group_name_H-M 'F m -3 m'
_symmetry_Int_Tables_number 225
_symmetry_space_group_name_Hall '-F 4 2 3'
_cell_length_a 8.376
_cell_length_b 8.376
_cell_length_c 8.376
_cell_angle_alpha 90.00
_cell_angle_beta 90.00
_cell_angle_gamma 90.00
loop_
_atom_site_label
_atom_site_fract_x
_atom_site_fract_y
_atom_site_fract_z
Cs1 0.000 0.000 0.000
Be1 0.250 0.250 0.250
I1 0.000 0.000 0.500


No. 8
# CsBeI3 | the Alexandria database | GGA-PBE | optimized geometry
# Calculated total energy in eV/atom: -2.49
# Energy above the lowest structure with this stoichiometry in eV per atom: 0.334
data_CsBeI3
_chemical_formula_sum 'Cs1 Be1 I3'
_symmetry_space_group_name_H-M 'P m -3 m'
_symmetry_Int_Tables_number 221
_symmetry_space_group_name_Hall '-P 4 2 3'
_cell_length_a 5.605
_cell_length_b 5.605
_cell_length_c 5.605
_cell_angle_alpha 90.00
_cell_angle_beta 90.00
_cell_angle_gamma 90.00
loop_
_atom_site_label
_atom_site_fract_x
_atom_site_fract_y
_atom_site_fract_z
Cs1 0.000 0.000 0.000
Be1 0.500 0.500 0.500
I1 0.000 0.500 0.500